Material: NaYNi
Method: DFT, PBE
State: optimized geometry

Output
Symmetry ... No. 216
ΔE to the lowest computed polymorph ... 0.000 eV per atom
Calculated density ... 3.950 g cm⁻³

extended XYZ file:
```
3
Lattice="0.000 3.298 3.298 3.298 0.000 3.298 3.298 3.298 0.000" Properties=species:S:1:pos:R:3 pbc="T T T"
Na 1.649 1.649 1.649
Ni 0.000 0.000 0.000
Y 4.946 4.946 4.946
```

Material: BaZnB4
Method: DFT, PBE
State: optimized geometry

Output
Symmetry ... No. 71
ΔE to the lowest computed polymorph ... 0.092 eV per atom
Calculated density ... 5.089 g cm⁻³

extended XYZ file:
```
6
Lattice="0.447 3.190 4.671 -4.077 3.927 0.382 1.400 -5.497 -0.093" Properties=species:S:1:pos:R:3 pbc="T T T"
B -0.282 0.992 2.784
B -2.559 1.391 0.661
B 0.329 0.229 4.298
B -1.948 0.628 2.175
Ba 0.000 0.000 0.000
Zn -1.815 3.559 2.526
```

Material: HgSbO3
Method: DFT, PBE
State: optimized geometry

Output
Symmetry ... No. 148
Calculated density ... 8.019 g cm⁻³
Energy ... -4.810 eV per atom

extended XYZ file:
```
10
Lattice="-3.641 -3.614 -1.538 -4.632 1.614 -2.152 -0.208 -0.843 -6.849" Properties=species:S:1:pos:R:3 pbc="T T T"
Hg -7.216 -2.074 -6.021
Hg -1.266 -0.770 -4.519
O -3.549 -1.664 -2.791
O -6.056 -2.648 -3.897
O -5.551 0.215 -3.758
O -2.931 -3.059 -6.782
O -2.426 -0.196 -6.643
O -4.932 -1.180 -7.749
Sb -5.509 -1.334 -2.474
Sb -2.972 -1.510 -8.066
```

Material: Nb4CuGeC2
Method: DFT, PBE
State: optimized geometry

Output
Symmetry ... No. 187
Calculated density ... 7.643 g cm⁻³
Energy ... -8.736 eV per atom

extended XYZ file:
```
8
Lattice="3.203 0.000 0.000 -1.602 2.774 0.000 0.000 0.000 13.002" Properties=species:S:1:pos:R:3 pbc="T T T"
C 1.602 0.925 3.277
C 1.602 0.925 9.724
Cu 0.000 0.000 6.501
Ge 0.000 1.849 0.000
Nb 0.000 0.000 2.058
Nb 0.000 1.849 4.439
Nb 0.000 1.849 8.563
Nb 0.000 0.000 10.944
```

Material: SrNbNO2
Method: DFT, PBE
State: optimized geometry

Output
Symmetry ... No. 5
Calculated density ... 5.679 g cm⁻³
Energy ... -8.207 eV per atom

extended XYZ file:
```
10
Lattice="3.297 0.851 -4.553 -3.534 -3.152 -3.147 -2.041 4.501 2.896" Properties=species:S:1:pos:R:3 pbc="T T T"
N 0.063 -1.044 -3.887
N -0.730 1.339 -2.486
Nb -0.970 0.596 -4.301
Nb -0.925 1.827 -0.581
O 3.287 0.844 -4.551
O -2.730 -0.378 -3.612
O 2.044 2.965 -3.057
O -2.734 0.710 -0.535
Sr -1.568 -1.452 -1.592
Sr -3.727 1.883 -2.590
```

Material: LuSnPO
Method: DFT, PBE
State: optimized geometry

Output
Symmetry ... No. 129
ΔE to the lowest computed polymorph ... 0.119 eV per atom
Calculated density ... 7.284 g cm⁻³

extended XYZ file:
```
8
Lattice="-0.296 -2.979 -2.654 -1.377 -2.422 2.872 -9.082 2.731 -2.052" Properties=species:S:1:pos:R:3 pbc="T T T"
Lu -1.591 -0.939 1.232
Lu -8.327 0.970 -3.175
O 0.000 0.000 0.000
O -0.837 -2.700 0.109
P -2.601 -0.752 -1.881
P -7.317 0.783 -0.062
Sn -4.541 1.366 -1.026
Sn -5.378 -1.335 -0.917
```